No. 1
Computed, not measured: RbPtN2 after structural relaxation at the PBE level of DFT. Values from VASP.

The structure in Quantum ESPRESSO input format:
```
&SYSTEM
  ibrav = 0, nat = 4, ntyp = 3
/
ATOMIC_SPECIES
Rb 85.47 Rb.upf
Pt 195.08 Pt.upf
N 14.01 N.upf
CELL_PARAMETERS angstrom
2.7725 0.0000 5.9616
-1.3862 2.4010 5.9616
-1.3862 -2.4010 5.9616
ATOMIC_POSITIONS crystal
Rb 0.5000 0.5000 0.5000
Pt 0.0000 0.0000 0.0000
N 0.9018 0.9018 0.9018
N 0.0982 0.0982 0.0982
```

Results
Formation energy from raw total energies = 24.4 kcal/mol of atoms
Total magnetic moment = 1.0 μB/cell
Electronic total energy = -4.855 eV/atom

=====

No. 2
Computed, not measured: ErHfC after structural relaxation at the PBE level of DFT. Values from VASP.

The structure in Quantum ESPRESSO input format:
```
&SYSTEM
  ibrav = 0, nat = 12, ntyp = 3
/
ATOMIC_SPECIES
Hf 178.49 Hf.upf
C 12.01 C.upf
Er 167.26 Er.upf
CELL_PARAMETERS angstrom
6.3432 0.0000 0.0000
0.0000 6.2959 0.5256
0.0000 -2.5692 6.0097
ATOMIC_POSITIONS crystal
Hf 0.1759 0.4033 0.1133
Hf 0.6759 0.0967 0.8867
Hf 0.8241 0.5967 0.8867
Hf 0.3241 0.9033 0.1133
C 0.3327 0.1132 0.8931
C 0.8327 0.3868 0.1069
C 0.6673 0.8868 0.1069
C 0.1673 0.6132 0.8931
Er 0.1572 0.8297 0.6286
Er 0.6572 0.6703 0.3714
Er 0.8428 0.1703 0.3714
Er 0.3428 0.3297 0.6286
```

Results
Total magnetic moment = 0.0 μB/cell
Electronic total energy = -8.134 eV/atom

=====

No. 3
Computed, not measured: ScTaZn2 after structural relaxation at the PBE level of DFT. Values from VASP.

The structure in Quantum ESPRESSO input format:
```
&SYSTEM
  ibrav = 0, nat = 4, ntyp = 3
/
ATOMIC_SPECIES
Sc 44.96 Sc.upf
Ta 180.95 Ta.upf
Zn 65.41 Zn.upf
CELL_PARAMETERS angstrom
-2.6686 -2.8706 1.5088
1.0495 0.5358 2.8755
-3.1864 4.0587 2.0862
ATOMIC_POSITIONS crystal
Sc 0.0000 0.4544 0.4662
Ta 0.5000 0.7936 0.7876
Zn 0.0000 0.1949 0.9843
Zn 0.5000 0.0571 0.2619
```

Results
Total magnetic moment = 0.0 μB/cell
Electronic total energy = -5.226 eV/atom